Here is crystalline YReTe2 at its relaxed geometry from the Alexandria database. Energies are from GGA-PBE.

ρ = 9389 kg/m³
N(E_F) = 2.63 states/eV/cell
formation energy from raw total energies = -77 meV per atom
space group = Cm (8)
offset from the most stable computed form = 156.2 meV per atom

Cell: 5.3494 5.3494 5.5726 Å, 72.02 72.02 38.49°
With the nearest neighbours (Å) after each atom.
Fractional positions:
Re (0.2483, 0.2483, 0.1415)  5 Te 2.78-2.95
Te (0.9709, 0.9709, 0.0742)  3 Re 2.78-2.95
Te (0.7585, 0.7585, 0.7481)  2 Re 2.79, 3 Y 2.99-3.09
Y (0.5223, 0.5223, 0.5363)  5 Te 2.99-3.30, 2 Re 3.14